Record 1
PmNdSnPt: relaxed, PBE-GGA.

Structure (CIF):
```
data_PmNdSnPt
_symmetry_space_group_name_H-M 'F -4 3 m'
_symmetry_Int_Tables_number 216
_symmetry_space_group_name_Hall 'F -4 2 3'
_cell_length_a 7.4927
_cell_length_b 7.4927
_cell_length_c 7.4927
_cell_angle_alpha 90.00
_cell_angle_beta 90.00
_cell_angle_gamma 90.00
loop_
_atom_site_label
_atom_site_type_symbol
_atom_site_fract_x
_atom_site_fract_y
_atom_site_fract_z
_atom_site_occupancy
Pm1 Pm 0.0000 0.0000 0.0000 1
Nd1 Nd 0.0000 0.0000 0.5000 1
Sn1 Sn 0.2500 0.2500 0.2500 1
Pt1 Pt 0.2500 0.2500 0.7500 1
```

Results
E_tot (eV per atom): -5.67
DFT formation energy (eV per atom): -0.78


Record 2
Ac3SnTe2: relaxed, PBE-GGA.

Structure (CIF):
```
data_Ac3SnTe2
_symmetry_space_group_name_H-M 'C 1 2/c 1'
_symmetry_Int_Tables_number 15
_cell_length_a 8.2901
_cell_length_b 14.3465
_cell_length_c 8.2881
_cell_angle_alpha 90.00
_cell_angle_beta 109.58
_cell_angle_gamma 90.00
loop_
_symmetry_equiv_pos_as_xyz
'x,y,z'
'-x,-y,-z'
'-x,y,-z+1/2'
'x,-y,z+1/2'
'x+1/2,y+1/2,z'
'-x+1/2,-y+1/2,-z'
'-x+1/2,y+1/2,-z+1/2'
'x+1/2,-y+1/2,z+1/2'
loop_
_atom_site_label
_atom_site_type_symbol
_atom_site_fract_x
_atom_site_fract_y
_atom_site_fract_z
_atom_site_occupancy
Ac1 Ac 0.2387 0.0795 0.4989 1
Ac2 Ac 0.2500 0.2500 0.0000 1
Sn1 Sn 0.0000 0.0868 0.7500 1
Te1 Te 0.0000 0.2529 0.2500 1
Te2 Te 0.0000 0.4171 0.7500 1
```

Results
E_form (uncorrected) (eV/atom): -1.304
E_tot (eV per atom): -5.07


Record 3
NdPuHgIr: relaxed, PBE-GGA.

Structure (CIF):
```
data_NdPuHgIr
_symmetry_space_group_name_H-M 'F -4 3 m'
_symmetry_Int_Tables_number 216
_symmetry_space_group_name_Hall 'F -4 2 3'
_cell_length_a 7.2654
_cell_length_b 7.2654
_cell_length_c 7.2654
_cell_angle_alpha 90.00
_cell_angle_beta 90.00
_cell_angle_gamma 90.00
loop_
_atom_site_label
_atom_site_type_symbol
_atom_site_fract_x
_atom_site_fract_y
_atom_site_fract_z
_atom_site_occupancy
Nd1 Nd 0.0000 0.0000 0.0000 1
Pu1 Pu 0.0000 0.0000 0.5000 1
Hg1 Hg 0.2500 0.2500 0.7500 1
Ir1 Ir 0.2500 0.2500 0.2500 1
```

Results
E_tot (eV per atom): -7.38
DFT formation energy (eV per atom): -0.31


Record 4
LaIr2Os: relaxed, PBE-GGA.

Structure (CIF):
```
data_LaIr2Os
_symmetry_space_group_name_H-M 'R 3 m'
_symmetry_Int_Tables_number 160
_symmetry_space_group_name_Hall 'R 3 -2"'
_cell_length_a 2.8447
_cell_length_b 2.8447
_cell_length_c 29.6633
_cell_angle_alpha 90.00
_cell_angle_beta 90.00
_cell_angle_gamma 120.00
loop_
_atom_site_label
_atom_site_type_symbol
_atom_site_fract_x
_atom_site_fract_y
_atom_site_fract_z
_atom_site_occupancy
La1 La 0.0000 0.0000 0.0000 1
Ir1 Ir 0.0000 0.0000 0.2418 1
Ir2 Ir 0.0000 0.0000 0.4998 1
Os1 Os 0.0000 0.0000 0.7627 1
```

Results
Polymorph energy (0 for the lowest one) (meV per atom): 438
E_tot (eV per atom): -7.99
DFT formation energy (eV per atom): 0.48


Record 5
CrCuOs2: relaxed, PBE-GGA.

Structure (CIF):
```
data_CrCuOs2
_symmetry_space_group_name_H-M 'C 1 m 1'
_symmetry_Int_Tables_number 8
_cell_length_a 8.9486
_cell_length_b 2.6907
_cell_length_c 4.4976
_cell_angle_alpha 90.00
_cell_angle_beta 100.40
_cell_angle_gamma 90.00
loop_
_symmetry_equiv_pos_as_xyz
'x,y,z'
'x,-y,z'
'x+1/2,y+1/2,z'
'x+1/2,-y+1/2,z'
loop_
_atom_site_label
_atom_site_type_symbol
_atom_site_fract_x
_atom_site_fract_y
_atom_site_fract_z
_atom_site_occupancy
Cr1 Cr 0.0000 0.0000 0.0000 1
Cu1 Cu 0.2454 0.0000 0.7544 1
Os1 Os 0.2447 0.5000 0.2513 1
Os2 Os 0.4898 0.0000 0.4870 1
```

Results
Polymorph energy (0 for the lowest one) (meV per atom): 115
E_tot (eV per atom): -8.77
DFT formation energy (eV per atom): 0.27


Record 6
CsK4Rb3: relaxed, PBE-GGA.

Structure (CIF):
```
data_CsK4Rb3
_symmetry_space_group_name_H-M 'P m n 21'
_symmetry_Int_Tables_number 31
_cell_length_a 15.7713
_cell_length_b 10.2971
_cell_length_c 8.2520
_cell_angle_alpha 90.00
_cell_angle_beta 90.00
_cell_angle_gamma 90.00
loop_
_symmetry_equiv_pos_as_xyz
'x,y,z'
'-x+1/2,-y,z+1/2'
'-x,y,z'
'x+1/2,-y,z+1/2'
loop_
_atom_site_label
_atom_site_type_symbol
_atom_site_fract_x
_atom_site_fract_y
_atom_site_fract_z
_atom_site_occupancy
Cs1 Cs 0.0000 0.1370 0.0000 1
K1 K 0.0000 0.3936 0.4862 1
K2 K 0.0000 0.6166 0.9900 1
K3 K 0.2462 0.6096 0.6338 1
Rb1 Rb 0.0000 0.8608 0.4977 1
Rb2 Rb 0.2478 0.1382 0.6134 1
```

Results
Polymorph energy (0 for the lowest one) (meV per atom): 0
E_tot (eV per atom): -1.01
DFT formation energy (eV per atom): 0.01


Record 7
AlMo3Se: relaxed, PBE-GGA.

Structure (CIF):
```
data_AlMo3Se
_symmetry_space_group_name_H-M 'P m -3 m'
_symmetry_Int_Tables_number 221
_symmetry_space_group_name_Hall '-P 4 2 3'
_cell_length_a 4.5875
_cell_length_b 4.5875
_cell_length_c 4.5875
_cell_angle_alpha 90.00
_cell_angle_beta 90.00
_cell_angle_gamma 90.00
loop_
_atom_site_label
_atom_site_type_symbol
_atom_site_fract_x
_atom_site_fract_y
_atom_site_fract_z
_atom_site_occupancy
Al1 Al 0.0000 0.0000 0.0000 1
Mo1 Mo 0.0000 0.5000 0.5000 1
Se1 Se 0.5000 0.5000 0.5000 1
```

Results
E_form (uncorrected) (eV/atom): 0.976
Polymorph energy (0 for the lowest one) (meV per atom): 0
E_tot (eV per atom): -6.97


Record 8
ZrTiCCl2: relaxed, PBE-GGA.

Structure (CIF):
```
data_ZrTiCCl2
_symmetry_space_group_name_H-M 'P 4/m m m'
_symmetry_Int_Tables_number 123
_symmetry_space_group_name_Hall '-P 4 2'
_cell_length_a 4.3551
_cell_length_b 4.3551
_cell_length_c 6.0038
_cell_angle_alpha 90.00
_cell_angle_beta 90.00
_cell_angle_gamma 90.00
loop_
_atom_site_label
_atom_site_type_symbol
_atom_site_fract_x
_atom_site_fract_y
_atom_site_fract_z
_atom_site_occupancy
Zr1 Zr 0.0000 0.0000 0.0000 1
Ti1 Ti 0.0000 0.0000 0.5000 1
C1 C 0.5000 0.5000 0.0000 1
Cl1 Cl 0.0000 0.5000 0.5000 1
```

Results
E_form (uncorrected) (eV/atom): 0.861
E_tot (eV per atom): -5.01


Record 9
CdRuO2F: relaxed, PBE-GGA.

Structure (CIF):
```
data_CdRuO2F
_symmetry_space_group_name_H-M 'P 4/m m m'
_symmetry_Int_Tables_number 123
_symmetry_space_group_name_Hall '-P 4 2'
_cell_length_a 3.9035
_cell_length_b 3.9035
_cell_length_c 4.3232
_cell_angle_alpha 90.00
_cell_angle_beta 90.00
_cell_angle_gamma 90.00
loop_
_atom_site_label
_atom_site_type_symbol
_atom_site_fract_x
_atom_site_fract_y
_atom_site_fract_z
_atom_site_occupancy
Cd1 Cd 0.0000 0.0000 0.0000 1
Ru1 Ru 0.5000 0.5000 0.5000 1
O1 O 0.0000 0.5000 0.5000 1
F1 F 0.5000 0.5000 0.0000 1
```

Results
E_form (uncorrected) (eV/atom): -0.789
E_tot (eV per atom): -5.18